{"formula": "AcEuGaSn", "functional": "PBE-GGA", "state": "optimized geometry", "lattice": [[-5.131, 2.203, -0.055], [-3.062, 0.061, 4.669], [-0.994, 4.828, 2.624]], "species": ["Ga", "Eu", "Sn", "Ac"], "fractional_positions": [[0.750, 0.750, 0.750], [0.000, 0.000, 0.000], [0.250, 0.250, 0.250], [0.500, 0.500, 0.500]], "spacegroup": "F-43m, No. 216", "dos_ef_per_ev_fu": 7.62, "mass_density_g_cm3": 7.65, "volume_a3_per_atom": 30.781, "formation_enthalpy_0k_ev_per_fu": -2.1}


{"formula": "AcEuTlGa", "functional": "PBE-GGA", "state": "optimized geometry", "lattice": [[-5.051, 1.961, 1.499], [-3.774, -3.449, 2.338], [-1.306, 0.536, 5.442]], "species": ["Ga", "Ac", "Tl", "Eu"], "fractional_positions": [[0.250, 0.250, 0.250], [0.500, 0.500, 0.500], [0.750, 0.750, 0.750], [0.000, 0.000, 0.000]], "spacegroup": "F-43m, No. 216", "dos_ef_per_ev_fu": 9.72, "mass_density_g_cm3": 8.63, "volume_a3_per_atom": 31.411, "formation_enthalpy_0k_ev_per_fu": -1.6}